Entry 1:
## Ce6PuRu3 (PBE)

Data for crystalline Ce6PuRu3 at its relaxed geometry.

Geometry as CIF:
```
data_Ce6PuRu3
_cell_length_a 10.5271
_cell_length_b 14.6020
_cell_length_c 6.0978
_cell_angle_alpha 90.00
_cell_angle_beta 90.00
_cell_angle_gamma 90.00
_symmetry_space_group_name_H-M 'C m c 21'
_symmetry_Int_Tables_number 36
_symmetry_space_group_name_Hall 'C 2c -2'
loop_
_atom_site_label
_atom_site_type_symbol
_atom_site_fract_x
_atom_site_fract_y
_atom_site_fract_z
_atom_site_occupancy
Ce1 Ce 0.0000 0.0577 0.0000 1
Ce2 Ce 0.0000 0.2627 0.7136 1
Ce3 Ce 0.1693 0.4414 0.8167 1
Ce4 Ce 0.2160 0.3044 0.3026 1
Pu1 Pu 0.0000 0.2312 0.1305 1
Ru1 Ru 0.0000 0.4173 0.3503 1
Ru2 Ru 0.1355 0.1074 0.4878 1
```

Output
* DFT total energy: -7.941 eV per atom
* crystal system: orthorhombic
* E_form: -1.65 eV/f.u.
* N(E_F): 18.33 states/eV/f.u.


Entry 2:
## Ce4PuRu (PBE)

Data for crystalline Ce4PuRu at its relaxed geometry.

Geometry as CIF:
```
data_Ce4PuRu
_cell_length_a 8.7838
_cell_length_b 14.0862
_cell_length_c 6.1065
_cell_angle_alpha 90.00
_cell_angle_beta 130.96
_cell_angle_gamma 90.00
_symmetry_space_group_name_H-M 'C 1 2/c 1'
_symmetry_Int_Tables_number 15
_symmetry_space_group_name_Hall '-C 2yc'
loop_
_atom_site_label
_atom_site_type_symbol
_atom_site_fract_x
_atom_site_fract_y
_atom_site_fract_z
_atom_site_occupancy
Ce1 Ce 0.1637 0.1785 0.1515 1
Ce2 Ce 0.1794 0.4244 0.1539 1
Pu1 Pu 0.0000 0.3040 0.7500 1
Ru1 Ru 0.0000 0.0140 0.2500 1
```

Output
* DFT total energy: -7.973 eV per atom
* crystal system: monoclinic
* E_form: -0.49 eV/f.u.
* N(E_F): 10.01 states/eV/f.u.
* distance to the lowest polymorph of the same formula: 0 meV/atom


Entry 3:
## Ce3Pu2Ru2 (PBE)

Data for crystalline Ce3Pu2Ru2 at its relaxed geometry.

Geometry as CIF:
```
data_Ce3Pu2Ru2
_cell_length_a 11.8767
_cell_length_b 3.8161
_cell_length_c 7.3646
_cell_angle_alpha 90.00
_cell_angle_beta 103.31
_cell_angle_gamma 90.00
_symmetry_space_group_name_H-M 'C 1 2/m 1'
_symmetry_Int_Tables_number 12
_symmetry_space_group_name_Hall '-C 2y'
loop_
_atom_site_label
_atom_site_type_symbol
_atom_site_fract_x
_atom_site_fract_y
_atom_site_fract_z
_atom_site_occupancy
Ce1 Ce 0.0000 0.0000 0.0000 1
Ce2 Ce 0.1189 0.0000 0.4883 1
Pu1 Pu 0.1705 0.5000 0.7946 1
Ru1 Ru 0.1539 0.5000 0.1826 1
```

Output
* DFT total energy: -9.414 eV per atom
* crystal system: monoclinic
* E_form: -0.88 eV/f.u.
* N(E_F): 14.84 states/eV/f.u.


Entry 4:
## Ce5PuRu3 (PBE)

Data for crystalline Ce5PuRu3 at its relaxed geometry.

Geometry as CIF:
```
data_Ce5PuRu3
_cell_length_a 12.2202
_cell_length_b 8.7975
_cell_length_c 9.9909
_cell_angle_alpha 90.00
_cell_angle_beta 110.45
_cell_angle_gamma 90.00
_symmetry_space_group_name_H-M 'C 1 2/m 1'
_symmetry_Int_Tables_number 12
_symmetry_space_group_name_Hall '-C 2y'
loop_
_atom_site_label
_atom_site_type_symbol
_atom_site_fract_x
_atom_site_fract_y
_atom_site_fract_z
_atom_site_occupancy
Ce1 Ce 0.0000 0.1950 0.0000 1
Ce2 Ce 0.0317 0.0000 0.3428 1
Ce3 Ce 0.1856 0.3014 0.6413 1
Ce4 Ce 0.2398 0.5000 0.0584 1
Pu1 Pu 0.0660 0.5000 0.2810 1
Ru1 Ru 0.0000 0.5000 0.0000 1
Ru2 Ru 0.0000 0.5000 0.5000 1
Ru3 Ru 0.1674 0.0000 0.1572 1
Ru4 Ru 0.1928 0.0000 0.5838 1
```

Output
* DFT total energy: -8.091 eV per atom
* crystal system: monoclinic
* E_form: -0.99 eV/f.u.
* N(E_F): 26.65 states/eV/f.u.


Entry 5:
## Ce4PuRu4 (PBE)

Data for crystalline Ce4PuRu4 at its relaxed geometry.

Geometry as CIF:
```
data_Ce4PuRu4
_cell_length_a 8.7985
_cell_length_b 8.7985
_cell_length_c 5.5221
_cell_angle_alpha 90.00
_cell_angle_beta 90.00
_cell_angle_gamma 90.00
_symmetry_space_group_name_H-M 'I 4/m'
_symmetry_Int_Tables_number 87
_symmetry_space_group_name_Hall '-I 4'
loop_
_atom_site_label
_atom_site_type_symbol
_atom_site_fract_x
_atom_site_fract_y
_atom_site_fract_z
_atom_site_occupancy
Ce1 Ce 0.1005 0.3027 0.0000 1
Pu1 Pu 0.0000 0.0000 0.5000 1
Ru1 Ru 0.1074 0.2901 0.5000 1
```

Output
* DFT total energy: -8.534 eV per atom
* crystal system: tetragonal
* E_form: -1.63 eV/f.u.
* N(E_F): 17.60 states/eV/f.u.


Entry 6:
## Ce3Pu2Ru4 (PBE)

Data for crystalline Ce3Pu2Ru4 at its relaxed geometry.

Geometry as CIF:
```
data_Ce3Pu2Ru4
_cell_length_a 10.8753
_cell_length_b 4.2479
_cell_length_c 8.7848
_cell_angle_alpha 90.00
_cell_angle_beta 99.68
_cell_angle_gamma 90.00
_symmetry_space_group_name_H-M 'C 1 2/m 1'
_symmetry_Int_Tables_number 12
_symmetry_space_group_name_Hall '-C 2y'
loop_
_atom_site_label
_atom_site_type_symbol
_atom_site_fract_x
_atom_site_fract_y
_atom_site_fract_z
_atom_site_occupancy
Ce1 Ce 0.0000 0.0000 0.0000 1
Ce2 Ce 0.1237 0.5000 0.3856 1
Pu1 Pu 0.1772 0.5000 0.7807 1
Ru1 Ru 0.0823 0.0000 0.6391 1
Ru2 Ru 0.2010 0.5000 0.0956 1
```

Output
* DFT total energy: -9.535 eV per atom
* crystal system: monoclinic
* E_form: -2.24 eV/f.u.
* N(E_F): 17.40 states/eV/f.u.


Entry 7:
## CePu2Ru (PBE)

Data for crystalline CePu2Ru at its relaxed geometry.

Geometry as CIF:
```
data_CePu2Ru
_cell_length_a 9.1288
_cell_length_b 6.8468
_cell_length_c 6.0428
_cell_angle_alpha 90.00
_cell_angle_beta 90.00
_cell_angle_gamma 90.00
_symmetry_space_group_name_H-M 'P n m a'
_symmetry_Int_Tables_number 62
_symmetry_space_group_name_Hall '-P 2ac 2n'
loop_
_atom_site_label
_atom_site_type_symbol
_atom_site_fract_x
_atom_site_fract_y
_atom_site_fract_z
_atom_site_occupancy
Ce1 Ce 0.0401 0.2500 0.1253 1
Pu1 Pu 0.1841 0.0287 0.6075 1
Ru1 Ru 0.0728 0.7500 0.3147 1
```

Output
* DFT total energy: -11.043 eV per atom
* crystal system: orthorhombic
* E_form: -0.30 eV/f.u.
* N(E_F): 11.82 states/eV/f.u.
* distance to the lowest polymorph of the same formula: 0 meV/atom


Entry 8:
## Ce12PuRu7 (PBE)

Data for crystalline Ce12PuRu7 at its relaxed geometry.

Geometry as CIF:
```
data_Ce12PuRu7
_cell_length_a 13.9392
_cell_length_b 13.9392
_cell_length_c 8.2522
_cell_angle_alpha 90.00
_cell_angle_beta 90.00
_cell_angle_gamma 120.00
_symmetry_space_group_name_H-M 'R -3'
_symmetry_Int_Tables_number 148
_symmetry_space_group_name_Hall '-R 3'
loop_
_atom_site_label
_atom_site_type_symbol
_atom_site_fract_x
_atom_site_fract_y
_atom_site_fract_z
_atom_site_occupancy
Ce1 Ce 0.0309 0.1672 0.2509 1
Ce2 Ce 0.0375 0.2753 0.6134 1
Pu1 Pu 0.0000 0.0000 0.0000 1
Ru1 Ru 0.0000 0.0000 0.5000 1
Ru2 Ru 0.0656 0.2440 0.9124 1
```

Output
* DFT total energy: -7.722 eV per atom
* crystal system: trigonal
* E_form: -3.97 eV/f.u.
* N(E_F): 39.15 states/eV/f.u.
* distance to the lowest polymorph of the same formula: 0 meV/atom


Entry 9:
## CePu2Ru (PBE)

Data for crystalline CePu2Ru at its relaxed geometry.

Geometry as CIF:
```
data_CePu2Ru
_cell_length_a 3.3981
_cell_length_b 10.4243
_cell_length_c 5.0904
_cell_angle_alpha 90.00
_cell_angle_beta 108.85
_cell_angle_gamma 90.00
_symmetry_space_group_name_H-M 'P 1 21/m 1'
_symmetry_Int_Tables_number 11
_symmetry_space_group_name_Hall '-P 2yb'
loop_
_atom_site_label
_atom_site_type_symbol
_atom_site_fract_x
_atom_site_fract_y
_atom_site_fract_z
_atom_site_occupancy
Ce1 Ce 0.0719 0.2500 0.1366 1
Pu1 Pu 0.3274 0.0231 0.6599 1
Ru1 Ru 0.1893 0.7500 0.3715 1
```

Output
* DFT total energy: -10.832 eV per atom
* crystal system: monoclinic
* E_form: 0.55 eV/f.u.
* N(E_F): 9.73 states/eV/f.u.
* distance to the lowest polymorph of the same formula: 212 meV/atom


Entry 10:
## CePu2Ru2 (PBE)

Data for crystalline CePu2Ru2 at its relaxed geometry.

Geometry as CIF:
```
data_CePu2Ru2
_cell_length_a 5.5957
_cell_length_b 4.5330
_cell_length_c 9.0942
_cell_angle_alpha 90.00
_cell_angle_beta 106.82
_cell_angle_gamma 90.00
_symmetry_space_group_name_H-M 'P 1 21/m 1'
_symmetry_Int_Tables_number 11
_symmetry_space_group_name_Hall '-P 2yb'
loop_
_atom_site_label
_atom_site_type_symbol
_atom_site_fract_x
_atom_site_fract_y
_atom_site_fract_z
_atom_site_occupancy
Ce1 Ce 0.2314 0.2500 0.2445 1
Pu1 Pu 0.1741 0.7500 0.5308 1
Pu2 Pu 0.2748 0.2500 0.8771 1
Ru1 Ru 0.2048 0.7500 0.0564 1
Ru2 Ru 0.4548 0.2500 0.6141 1
```

Output
* DFT total energy: -10.777 eV per atom
* crystal system: monoclinic
* E_form: -0.73 eV/f.u.
* N(E_F): 15.27 states/eV/f.u.
* distance to the lowest polymorph of the same formula: 0 meV/atom


Entry 11:
## Ce2Pu3Ru4 (PBE)

Data for crystalline Ce2Pu3Ru4 at its relaxed geometry.

Geometry as CIF:
```
data_Ce2Pu3Ru4
_cell_length_a 6.1401
_cell_length_b 16.4700
_cell_length_c 7.5174
_cell_angle_alpha 90.00
_cell_angle_beta 90.00
_cell_angle_gamma 90.00
_symmetry_space_group_name_H-M 'C m c e'
_symmetry_Int_Tables_number 64
_symmetry_space_group_name_Hall '-C 2ac 2'
loop_
_atom_site_label
_atom_site_type_symbol
_atom_site_fract_x
_atom_site_fract_y
_atom_site_fract_z
_atom_site_occupancy
Ce1 Ce 0.0000 0.1005 0.0949 1
Pu1 Pu 0.0000 0.0000 0.5000 1
Pu2 Pu 0.2500 0.2299 0.7500 1
Ru1 Ru 0.0000 0.1572 0.4666 1
Ru2 Ru 0.2500 0.0678 0.7500 1
```

Output
* DFT total energy: -10.424 eV per atom
* crystal system: orthorhombic
* E_form: -1.85 eV/f.u.
* N(E_F): 18.41 states/eV/f.u.


Entry 12:
## CePu3Ru2 (PBE)

Data for crystalline CePu3Ru2 at its relaxed geometry.

Geometry as CIF:
```
data_CePu3Ru2
_cell_length_a 3.8428
_cell_length_b 9.1292
_cell_length_c 7.4255
_cell_angle_alpha 90.00
_cell_angle_beta 90.00
_cell_angle_gamma 90.00
_symmetry_space_group_name_H-M 'P m c 21'
_symmetry_Int_Tables_number 26
_symmetry_space_group_name_Hall 'P 2c -2'
loop_
_atom_site_label
_atom_site_type_symbol
_atom_site_fract_x
_atom_site_fract_y
_atom_site_fract_z
_atom_site_occupancy
Ce1 Ce 0.0000 0.0842 0.0000 1
Pu1 Pu 0.0000 0.2916 0.5754 1
Pu2 Pu 0.5000 0.2086 0.3755 1
Pu3 Pu 0.5000 0.4273 0.9414 1
Ru1 Ru 0.0000 0.4182 0.1901 1
Ru2 Ru 0.5000 0.0874 0.7590 1
```

Output
* DFT total energy: -11.350 eV per atom
* crystal system: orthorhombic
* E_form: -0.62 eV/f.u.
* N(E_F): 19.23 states/eV/f.u.


Entry 13:
## CePu2Ru (PBE)

Data for crystalline CePu2Ru at its relaxed geometry.

Geometry as CIF:
```
data_CePu2Ru
_cell_length_a 4.7255
_cell_length_b 4.7255
_cell_length_c 13.5734
_cell_angle_alpha 90.00
_cell_angle_beta 90.00
_cell_angle_gamma 120.00
_symmetry_space_group_name_H-M 'R -3 m'
_symmetry_Int_Tables_number 166
_symmetry_space_group_name_Hall '-R 3 2"'
loop_
_atom_site_label
_atom_site_type_symbol
_atom_site_fract_x
_atom_site_fract_y
_atom_site_fract_z
_atom_site_occupancy
Ce1 Ce 0.0000 0.0000 0.0000 1
Pu1 Pu 0.0000 0.0000 0.2437 1
Ru1 Ru 0.0000 0.0000 0.5000 1
```

Output
* DFT total energy: -11.023 eV per atom
* crystal system: trigonal
* E_form: -0.22 eV/f.u.
* N(E_F): 13.96 states/eV/f.u.
* distance to the lowest polymorph of the same formula: 20 meV/atom


Entry 14:
## CePu4Ru3 (PBE)

Data for crystalline CePu4Ru3 at its relaxed geometry.

Geometry as CIF:
```
data_CePu4Ru3
_cell_length_a 4.6174
_cell_length_b 4.6174
_cell_length_c 8.9692
_cell_angle_alpha 90.00
_cell_angle_beta 90.00
_cell_angle_gamma 90.00
_symmetry_space_group_name_H-M 'P 4/m m m'
_symmetry_Int_Tables_number 123
_symmetry_space_group_name_Hall '-P 4 2'
loop_
_atom_site_label
_atom_site_type_symbol
_atom_site_fract_x
_atom_site_fract_y
_atom_site_fract_z
_atom_site_occupancy
Ce1 Ce 0.0000 0.0000 0.0000 1
Pu1 Pu 0.0000 0.5000 0.3094 1
Ru1 Ru 0.0000 0.0000 0.5000 1
Ru2 Ru 0.5000 0.5000 0.1463 1
```

Output
* DFT total energy: -11.350 eV per atom
* crystal system: tetragonal
* E_form: 0.29 eV/f.u.
* N(E_F): 23.15 states/eV/f.u.


Entry 15:
## Ce2Pu3Ru3 (PBE)

Data for crystalline Ce2Pu3Ru3 at its relaxed geometry.

Geometry as CIF:
```
data_Ce2Pu3Ru3
_cell_length_a 4.4401
_cell_length_b 5.0554
_cell_length_c 14.1006
_cell_angle_alpha 90.00
_cell_angle_beta 90.00
_cell_angle_gamma 90.00
_symmetry_space_group_name_H-M 'I m m m'
_symmetry_Int_Tables_number 71
_symmetry_space_group_name_Hall '-I 2 2'
loop_
_atom_site_label
_atom_site_type_symbol
_atom_site_fract_x
_atom_site_fract_y
_atom_site_fract_z
_atom_site_occupancy
Ce1 Ce 0.0000 0.0000 0.2439 1
Pu1 Pu 0.0000 0.0000 0.5000 1
Pu2 Pu 0.0000 0.5000 0.3824 1
Ru1 Ru 0.0000 0.0000 0.0000 1
Ru2 Ru 0.0000 0.5000 0.1050 1
```

Output
* DFT total energy: -10.441 eV per atom
* crystal system: orthorhombic
* E_form: -0.83 eV/f.u.
* N(E_F): 17.43 states/eV/f.u.


Entry 16:
## CePu2Ru3 (PBE)

Data for crystalline CePu2Ru3 at its relaxed geometry.

Geometry as CIF:
```
data_CePu2Ru3
_cell_length_a 10.5211
_cell_length_b 5.4923
_cell_length_c 9.0458
_cell_angle_alpha 90.00
_cell_angle_beta 115.74
_cell_angle_gamma 90.00
_symmetry_space_group_name_H-M 'C 1 2/c 1'
_symmetry_Int_Tables_number 15
_symmetry_space_group_name_Hall '-C 2yc'
loop_
_atom_site_label
_atom_site_type_symbol
_atom_site_fract_x
_atom_site_fract_y
_atom_site_fract_z
_atom_site_occupancy
Ce1 Ce 0.0000 0.1464 0.2500 1
Pu1 Pu 0.1620 0.3509 0.0778 1
Ru1 Ru 0.0000 0.3359 0.7500 1
Ru2 Ru 0.1755 0.1664 0.5940 1
```

Output
* DFT total energy: -10.532 eV per atom
* crystal system: monoclinic
* E_form: -0.77 eV/f.u.
* N(E_F): 12.60 states/eV/f.u.


Entry 17:
## Ce5PuRu4 (PBE)

Data for crystalline Ce5PuRu4 at its relaxed geometry.

Geometry as CIF:
```
data_Ce5PuRu4
_cell_length_a 7.7465
_cell_length_b 9.5939
_cell_length_c 6.8091
_cell_angle_alpha 90.00
_cell_angle_beta 90.00
_cell_angle_gamma 90.00
_symmetry_space_group_name_H-M 'P m m n'
_symmetry_Int_Tables_number 59
loop_
_symmetry_equiv_pos_as_xyz
'x,y,z'
'-x,-y,-z'
'-x+1/2,-y+1/2,z'
'x+1/2,y+1/2,-z'
'x+1/2,-y,-z'
'-x+1/2,y,z'
'-x,y+1/2,-z'
'x,-y+1/2,z'
loop_
_atom_site_label
_atom_site_type_symbol
_atom_site_fract_x
_atom_site_fract_y
_atom_site_fract_z
_atom_site_occupancy
Ce1 Ce 0.0156 0.0608 0.2253 1
Ce2 Ce 0.2500 0.2500 0.7446 1
Pu1 Pu 0.2500 0.7500 0.3942 1
Ru1 Ru 0.0700 0.7500 0.0156 1
Ru2 Ru 0.2500 0.0221 0.5086 1
```

Output
* DFT total energy: -8.203 eV per atom
* crystal system: orthorhombic
* E_form: -0.92 eV/f.u.
* N(E_F): 23.43 states/eV/f.u.


Entry 18:
## Ce6PuRu5 (PBE)

Data for crystalline Ce6PuRu5 at its relaxed geometry.

Geometry as CIF:
```
data_Ce6PuRu5
_cell_length_a 4.3517
_cell_length_b 7.2760
_cell_length_c 8.4029
_cell_angle_alpha 90.00
_cell_angle_beta 102.32
_cell_angle_gamma 90.00
_symmetry_space_group_name_H-M 'P 1 2/m 1'
_symmetry_Int_Tables_number 10
_symmetry_space_group_name_Hall '-P 2y'
loop_
_atom_site_label
_atom_site_type_symbol
_atom_site_fract_x
_atom_site_fract_y
_atom_site_fract_z
_atom_site_occupancy
Ce1 Ce 0.0000 0.2384 0.0000 1
Ce2 Ce 0.3169 0.2481 0.6650 1
Pu1 Pu 0.5000 0.5000 0.0000 1
Ru1 Ru 0.0819 0.5000 0.3308 1
Ru2 Ru 0.2824 0.0000 0.3291 1
Ru3 Ru 0.5000 0.0000 0.0000 1
```

Output
* DFT total energy: -8.271 eV per atom
* crystal system: monoclinic
* E_form: -2.94 eV/f.u.
* N(E_F): 17.55 states/eV/f.u.


Entry 19:
## Ce6PuRu (PBE)

Data for crystalline Ce6PuRu at its relaxed geometry.

Geometry as CIF:
```
data_Ce6PuRu
_cell_length_a 6.6461
_cell_length_b 10.4573
_cell_length_c 6.5905
_cell_angle_alpha 90.00
_cell_angle_beta 104.14
_cell_angle_gamma 90.00
_symmetry_space_group_name_H-M 'C 1 2/m 1'
_symmetry_Int_Tables_number 12
_symmetry_space_group_name_Hall '-C 2y'
loop_
_atom_site_label
_atom_site_type_symbol
_atom_site_fract_x
_atom_site_fract_y
_atom_site_fract_z
_atom_site_occupancy
Ce1 Ce 0.2144 0.1597 0.2356 1
Ce2 Ce 0.2465 0.5000 0.2216 1
Pu1 Pu 0.0000 0.0000 0.0000 1
Ru1 Ru 0.0000 0.5000 0.5000 1
```

Output
* DFT total energy: -7.513 eV per atom
* crystal system: monoclinic
* E_form: -0.89 eV/f.u.
* N(E_F): 13.34 states/eV/f.u.